VASP calculation (PBE-GGA) on an optimized crystal structure of CoHgTe2.

Geometry as POSCAR:
```
CoHgTe2
1.0
3.1975 0.0000 0.0000
0.0000 3.1975 0.0000
0.0000 0.0000 9.6205
Co Hg Te
1 1 2
Cartesian
0.0000 0.0000 0.0000
0.0000 0.0000 4.8103
1.5987 1.5987 1.6099
1.5987 1.5987 8.0107
```

Calculated values
DFT total energy (eV per formula unit): -12.968
E_form (uncorrected) (eV/atom): 0.181

***

VASP calculation (PBE-GGA) on an optimized crystal structure of Ba5C3.

Geometry as POSCAR:
```
Ba5C3
1.0
3.6464 0.0000 0.0000
0.0000 3.6464 0.0000
0.0000 0.0000 18.9298
Ba C
5 3
Cartesian
0.0000 0.0000 0.0000
0.0000 0.0000 3.3892
0.0000 0.0000 15.5406
1.8232 1.8232 7.8827
1.8232 1.8232 11.0471
0.0000 0.0000 9.4649
1.8232 1.8232 2.0207
1.8232 1.8232 16.9092
```

Calculated values
DFT total energy (eV per formula unit): -29.692
Formation energy from the elements (eV/atom): 0.95
Energy above the lowest structure with this stoichiometry (eV per atom): 0.0864

***

VASP calculation (PBE-GGA) on an optimized crystal structure of CaOsIN2.

Geometry as POSCAR:
```
CaOsIN2
1.0
4.4129 0.0000 0.0000
0.0000 4.4129 0.0000
0.0000 0.0000 6.3905
Ca Os I N
1 1 1 2
Cartesian
0.0000 0.0000 0.0000
2.2064 2.2064 3.1952
0.0000 0.0000 3.1952
0.0000 2.2064 0.0000
2.2064 0.0000 0.0000
```

Calculated values
DFT total energy (eV per formula unit): -20.267
Energy above the lowest structure with this stoichiometry (eV per atom): 1.8889
E_form (uncorrected) (eV/atom): 2.233